Entry 1:
# KUTe4Au2

Crystalline KUTe4Au2 at its relaxed geometry (GGA-PBE, Alexandria via LeMat-Bulk).

Structure (CIF):
```
data_KUTe4Au2
_chemical_formula_sum 'K2 U2 Te8 Au4'
_cell_length_a 5.092
_cell_length_b 9.314
_cell_length_c 13.812
_cell_angle_alpha 90.00
_cell_angle_beta 90.00
_cell_angle_gamma 90.00
_symmetry_space_group_name_H-M 'I 2 2 2'
_symmetry_Int_Tables_number 23
loop_
_symmetry_equiv_pos_as_xyz
'x,y,z'
'-x,-y,z'
'x,-y,-z'
'-x,y,-z'
'x+1/2,y+1/2,z+1/2'
'-x+1/2,-y+1/2,z+1/2'
'x+1/2,-y+1/2,-z+1/2'
'-x+1/2,y+1/2,-z+1/2'
loop_
_atom_site_label
_atom_site_fract_x
_atom_site_fract_y
_atom_site_fract_z
K1 0.000 0.000 0.000
U1 0.000 0.500 0.000
Te1 0.179 0.299 0.849
Au1 0.000 0.185 0.500
```

Raw total energy: -4.31 eV per atom
Energy relative to the elements, uncorrected: -35.9 kJ/mol of atoms
N(E_F): 3.1 states/eV/f.u.



Entry 2:
# YSBr

Crystalline YSBr at its relaxed geometry (GGA-PBE, Alexandria via LeMat-Bulk).

Structure (CIF):
```
data_YSBr
_chemical_formula_sum 'Y2 S2 Br2'
_cell_length_a 4.077
_cell_length_b 5.379
_cell_length_c 9.762
_cell_angle_alpha 90.00
_cell_angle_beta 98.07
_cell_angle_gamma 90.00
_symmetry_space_group_name_H-M 'P 1 21/m 1'
_symmetry_Int_Tables_number 11
loop_
_symmetry_equiv_pos_as_xyz
'x,y,z'
'-x,-y,-z'
'-x,y+1/2,-z'
'x,-y+1/2,z'
loop_
_atom_site_label
_atom_site_fract_x
_atom_site_fract_y
_atom_site_fract_z
Y1 0.210 0.250 0.380
S1 0.226 0.750 0.429
Br1 0.359 0.750 0.824
```

Raw total energy: -6.11 eV per atom
Energy relative to the elements, uncorrected: -194.9 kJ/mol of atoms
N(E_F): 0.0 states/eV/f.u.



Entry 3:
# BeAsPd4

Crystalline BeAsPd4 at its relaxed geometry (GGA-PBE, Alexandria via LeMat-Bulk).

Structure (CIF):
```
data_BeAsPd4
_chemical_formula_sum 'Be2 As2 Pd8'
_cell_length_a 4.875
_cell_length_b 5.397
_cell_length_c 7.055
_cell_angle_alpha 90.00
_cell_angle_beta 109.47
_cell_angle_gamma 90.00
_symmetry_space_group_name_H-M 'P 1 21/m 1'
_symmetry_Int_Tables_number 11
loop_
_symmetry_equiv_pos_as_xyz
'x,y,z'
'-x,-y,-z'
'-x,y+1/2,-z'
'x,-y+1/2,z'
loop_
_atom_site_label
_atom_site_fract_x
_atom_site_fract_y
_atom_site_fract_z
Be1 0.156 0.250 0.030
As1 0.316 0.250 0.592
Pd1 0.031 0.503 0.274
Pd2 0.384 0.750 0.062
Pd3 0.442 0.750 0.671
```

Energy relative to the lowest polymorph listed for this composition: 0 meV/atom
Raw total energy: -5.19 eV per atom
N(E_F): 2.8 states/eV/f.u.



Entry 4:
# PmNd2Tm4

Crystalline PmNd2Tm4 at its relaxed geometry (GGA-PBE, Alexandria via LeMat-Bulk).

Structure (CIF):
```
data_PmNd2Tm4
_chemical_formula_sum 'Pm4 Nd8 Tm16'
_cell_length_a 6.657
_cell_length_b 11.453
_cell_length_c 12.264
_cell_angle_alpha 90.00
_cell_angle_beta 90.00
_cell_angle_gamma 90.00
_symmetry_space_group_name_H-M 'I m m a'
_symmetry_Int_Tables_number 74
_symmetry_space_group_name_Hall '-I 2b 2'
loop_
_atom_site_label
_atom_site_fract_x
_atom_site_fract_y
_atom_site_fract_z
Pm1 0.250 0.250 0.250
Nd1 0.000 0.000 0.000
Nd2 0.000 0.250 0.774
Tm1 0.000 0.008 0.364
Tm2 0.228 0.250 0.511
```

Raw total energy: -4.33 eV per atom
N(E_F): 12.1 states/eV/f.u.



Entry 5:
# ErScPt2

Crystalline ErScPt2 at its relaxed geometry (GGA-PBE, Alexandria via LeMat-Bulk).

Structure (CIF):
```
data_ErScPt2
_chemical_formula_sum 'Er1 Sc1 Pt2'
_cell_length_a 3.340
_cell_length_b 3.340
_cell_length_c 6.939
_cell_angle_alpha 90.00
_cell_angle_beta 90.00
_cell_angle_gamma 90.00
_symmetry_space_group_name_H-M 'P 4/m m m'
_symmetry_Int_Tables_number 123
_symmetry_space_group_name_Hall '-P 4 2'
loop_
_atom_site_label
_atom_site_fract_x
_atom_site_fract_y
_atom_site_fract_z
Er1 0.000 0.000 0.000
Sc1 0.000 0.000 0.500
Pt1 0.500 0.500 0.268
```

Energy relative to the lowest polymorph listed for this composition: 6 meV/atom
Raw total energy: -6.98 eV per atom
N(E_F): 2.7 states/eV/f.u.



Entry 6:
# ScH2CCl

Crystalline ScH2CCl at its relaxed geometry (GGA-PBE, Alexandria via LeMat-Bulk).

Structure (CIF):
```
data_ScH2CCl
_chemical_formula_sum 'Sc1 H2 C1 Cl1'
_cell_length_a 3.481
_cell_length_b 3.481
_cell_length_c 4.534
_cell_angle_alpha 90.00
_cell_angle_beta 90.00
_cell_angle_gamma 90.00
_symmetry_space_group_name_H-M 'P 4/m m m'
_symmetry_Int_Tables_number 123
_symmetry_space_group_name_Hall '-P 4 2'
loop_
_atom_site_label
_atom_site_fract_x
_atom_site_fract_y
_atom_site_fract_z
Sc1 0.000 0.000 0.000
H1 0.000 0.500 0.500
C1 0.000 0.000 0.500
Cl1 0.500 0.500 0.000
```

Raw total energy: -4.61 eV per atom
N(E_F): 1.5 states/eV/f.u.